First-principles (PBE-GGA) data for crystalline NiBr at its relaxed geometry, as listed in the Alexandria database.

Cell: 7.4690 7.6913 11.7204 Å, 90.00 90.00 90.00°
Space group Fddd (No. 70, origin choice 2)
Inequivalent atoms, fractional coordinates:
Ni 0.1250 0.1250 0.0177 [16 per cell]
Br 0.1250 0.3580 0.6250 [16 per cell]

Values from the calculation:
**DFT total energy**: -3.658 eV per atom

***

First-principles (PBE-GGA) data for crystalline NaInC at its relaxed geometry, as listed in the Alexandria database.

Cell: 3.9526 12.7523 6.1664 Å, 90.00 90.00 90.00°
Space group Imm2 (No. 44)
Inequivalent atoms, fractional coordinates:
Na 0.0000 0.0000 0.0000 [2 per cell]
Na 0.0000 0.3561 0.7111 [4 per cell]
In 0.0000 0.0000 0.5359 [2 per cell]
In 0.0000 0.3158 0.1910 [4 per cell]
C 0.0000 0.1874 0.4700 [4 per cell]
C 0.0000 0.5000 0.2562 [2 per cell]

Values from the calculation:
**Energy of formation from the pure elements**: 0.8264 eV/atom

***

First-principles (PBE-GGA) data for crystalline Pa3RhN2O6 at its relaxed geometry, as listed in the Alexandria database.

Cell: 10.7406 6.9099 4.7704 Å, 90.00 92.00 90.00°
Space group C2/m (No. 12)
Inequivalent atoms, fractional coordinates:
Pa 0.0000 0.0000 0.0000 [2 per cell]
Pa 0.2500 0.2500 0.5000 [4 per cell]
Rh 0.0000 0.5000 0.5000 [2 per cell]
N 0.1671 0.0000 0.2593 [4 per cell]
O 0.0758 0.2581 0.7386 [8 per cell]
O 0.1650 0.5000 0.2856 [4 per cell]

Values from the calculation:
**DFT total energy**: -9.172 eV per atom

***

First-principles (PBE-GGA) data for crystalline Ni3SbH at its relaxed geometry, as listed in the Alexandria database.

Cell: 4.7171 4.7171 4.7171 Å, 90.00 90.00 90.00°
Space group Pm-3m (No. 221)
Inequivalent atoms, fractional coordinates:
Ni 0.0000 0.0000 0.5000 [3 per cell]
Sb 0.0000 0.0000 0.0000 [1 per cell]
H 0.5000 0.5000 0.5000 [1 per cell]

Values from the calculation:
**Distance to the lowest polymorph of the same formula**: 1569 meV/atom

***

First-principles (PBE-GGA) data for crystalline Ho2InTe at its relaxed geometry, as listed in the Alexandria database.

Cell: 4.4827 23.6763 4.2659 Å, 90.00 90.00 90.00°
Space group Cmcm (No. 63)
Inequivalent atoms, fractional coordinates:
Ho 0.0000 0.0646 0.2500 [4 per cell]
Ho 0.0000 0.3258 0.2500 [4 per cell]
In 0.0000 0.4565 0.2500 [4 per cell]
Te 0.0000 0.1938 0.2500 [4 per cell]

Values from the calculation:
**Distance to the lowest polymorph of the same formula**: 0 meV/atom

***

First-principles (PBE-GGA) data for crystalline TbPm2SmHo5 at its relaxed geometry, as listed in the Alexandria database.

Cell: 8.6180 8.6180 15.6264 Å, 90.00 90.00 90.00°
Space group I4/mcm (No. 140)
Inequivalent atoms, fractional coordinates:
Tb 0.0000 0.0000 0.2500 [4 per cell]
Pm 0.1178 0.3822 0.0000 [8 per cell]
Sm 0.0000 0.5000 0.2500 [4 per cell]
Ho 0.0000 0.0000 0.0000 [4 per cell]
Ho 0.2097 0.2903 0.3613 [16 per cell]

Values from the calculation:
**Energy of formation from the pure elements**: 0.2649 eV/atom

***

First-principles (PBE-GGA) data for crystalline Ba2W3 at its relaxed geometry, as listed in the Alexandria database.

Cell: 9.8384 16.4230 6.8756 Å, 90.00 90.00 90.00°
Space group Fdd2 (No. 43)
Inequivalent atoms, fractional coordinates:
Ba 0.0926 0.3015 0.0000 [16 per cell]
W 0.0000 0.0000 0.2147 [8 per cell]
W 0.0817 0.3719 0.5255 [16 per cell]

Values from the calculation:
**Distance to the lowest polymorph of the same formula**: 0 meV/atom
**Energy of formation from the pure elements**: 1.2038 eV/atom

***

First-principles (PBE-GGA) data for crystalline HgAs2C at its relaxed geometry, as listed in the Alexandria database.

Cell: 6.5783 6.5783 6.5783 Å, 90.00 90.00 90.00°
Space group Fm-3m (No. 225)
Inequivalent atoms, fractional coordinates:
Hg 0.0000 0.0000 0.0000 [4 per cell]
As 0.2500 0.2500 0.2500 [8 per cell]
C 0.0000 0.0000 0.5000 [4 per cell]

Values from the calculation:
**Distance to the lowest polymorph of the same formula**: 958 meV/atom
**Energy of formation from the pure elements**: 1.6645 eV/atom